Entry 1:
VASP calculation (PBE) on a geometry-optimized MnNbGaRe structure.

The structure in CIF format:
```
data_MnNbGaRe
_chemical_formula_sum 'Mn4 Nb4 Ga4 Re4'
_cell_length_a 6.203
_cell_length_b 6.203
_cell_length_c 6.203
_cell_angle_alpha 90.00
_cell_angle_beta 90.00
_cell_angle_gamma 90.00
_symmetry_space_group_name_H-M 'F -4 3 m'
_symmetry_Int_Tables_number 216
_symmetry_space_group_name_Hall 'F -4 2 3'
loop_
_atom_site_label
_atom_site_fract_x
_atom_site_fract_y
_atom_site_fract_z
Mn1 0.000 0.000 0.000
Nb1 0.250 0.250 0.250
Ga1 0.250 0.250 0.750
Re1 0.000 0.000 0.500
```

Values from the calculation:
Final energy: -8.74 eV per atom
DOS(E_F): 0.668 states/eV per atom
Crystal system: cubic

Entry 2:
VASP calculation (PBE) on a geometry-optimized Mn2Nb2GaRu5 structure.

The structure in CIF format:
```
data_Mn2Nb2GaRu5
_chemical_formula_sum 'Mn4 Nb4 Ga2 Ru10'
_cell_length_a 8.799
_cell_length_b 8.799
_cell_length_c 3.796
_cell_angle_alpha 90.00
_cell_angle_beta 90.00
_cell_angle_gamma 90.00
_symmetry_space_group_name_H-M 'P 4/m b m'
_symmetry_Int_Tables_number 127
_symmetry_space_group_name_Hall '-P 4 2ab'
loop_
_atom_site_label
_atom_site_fract_x
_atom_site_fract_y
_atom_site_fract_z
Mn1 0.135 0.365 0.000
Nb1 0.164 0.664 0.000
Ga1 0.000 0.000 0.000
Ru1 0.000 0.500 0.500
Ru2 0.074 0.201 0.500
```

Values from the calculation:
Final energy: -8.82 eV per atom
DOS(E_F): 1.225 states/eV per atom
Crystal system: tetragonal

Entry 3:
VASP calculation (PBE) on a geometry-optimized Sc2Mn2NbGa5 structure.

The structure in CIF format:
```
data_Sc2Mn2NbGa5
_chemical_formula_sum 'Sc4 Mn4 Nb2 Ga10'
_cell_length_a 9.060
_cell_length_b 9.060
_cell_length_c 3.987
_cell_angle_alpha 90.00
_cell_angle_beta 90.00
_cell_angle_gamma 90.00
_symmetry_space_group_name_H-M 'P 4/m b m'
_symmetry_Int_Tables_number 127
_symmetry_space_group_name_Hall '-P 4 2ab'
loop_
_atom_site_label
_atom_site_fract_x
_atom_site_fract_y
_atom_site_fract_z
Sc1 0.177 0.323 0.000
Mn1 0.120 0.620 0.000
Nb1 0.000 0.000 0.000
Ga1 0.000 0.500 0.500
Ga2 0.066 0.793 0.500
```

Values from the calculation:
Final energy: -5.94 eV per atom
DOS(E_F): 0.755 states/eV per atom
Crystal system: tetragonal

Entry 4:
VASP calculation (PBE) on a geometry-optimized MnNbGa2Si structure.

The structure in CIF format:
```
data_MnNbGa2Si
_chemical_formula_sum 'Mn1 Nb1 Ga2 Si1'
_cell_length_a 4.559
_cell_length_b 4.559
_cell_length_c 4.574
_cell_angle_alpha 90.00
_cell_angle_beta 90.00
_cell_angle_gamma 90.00
_symmetry_space_group_name_H-M 'P 4/m m m'
_symmetry_Int_Tables_number 123
_symmetry_space_group_name_Hall '-P 4 2'
loop_
_atom_site_label
_atom_site_fract_x
_atom_site_fract_y
_atom_site_fract_z
Mn1 0.000 0.000 0.000
Nb1 0.000 0.000 0.500
Ga1 0.000 0.500 0.000
Si1 0.500 0.500 0.500
```

Values from the calculation:
Final energy: -5.53 eV per atom
ΔE_f (raw): 59 kJ/mol of atoms
DOS(E_F): 1.167 states/eV per atom
Crystal system: tetragonal